*w*
Compound: SmGe3Ir3
Source: the Alexandria database
Functional: PBE
Structure: relaxed

Unit cell a=8.059 b=8.059 c=8.059 alpha=50.66 beta=50.66 gamma=50.66
Sites, in units of the cell vectors:
Sm  0.172  0.172  0.172
Sm  0.828  0.828  0.828
Ge  0.091  0.455  0.639
Ge  0.361  0.909  0.545
Ge  0.455  0.639  0.091
Ge  0.545  0.361  0.909
Ge  0.639  0.091  0.455
Ge  0.909  0.545  0.361
Ir  0.043  0.816  0.307
Ir  0.184  0.693  0.957
Ir  0.307  0.043  0.816
Ir  0.693  0.957  0.184
Ir  0.816  0.307  0.043
Ir  0.957  0.184  0.693

Calculated values
* crystal system: trigonal
* theoretical density: 10.9 g cm⁻³
* N(E_F): 2.4 states/eV/f.u.

*x*
Compound: SmGe3Ir3
Source: the Alexandria database
Functional: PBE
Structure: relaxed

Unit cell a=6.754 b=6.754 c=6.754 alpha=90.00 beta=90.00 gamma=90.00
Sites, in units of the cell vectors:
Sm  0.000  0.000  0.000
Sm  0.500  0.500  0.500
Ge  0.000  0.250  0.500
Ge  0.000  0.750  0.500
Ge  0.250  0.500  0.000
Ge  0.500  0.000  0.250
Ge  0.500  0.000  0.750
Ge  0.750  0.500  0.000
Ir  0.000  0.500  0.250
Ir  0.000  0.500  0.750
Ir  0.250  0.000  0.500
Ir  0.500  0.250  0.000
Ir  0.500  0.750  0.000
Ir  0.750  0.000  0.500

Calculated values
* crystal system: cubic
* theoretical density: 10.2 g cm⁻³
* N(E_F): 6.2 states/eV/f.u.

Of them, *x* has the lowest stability.

*w*
Compound: Sm2Ge4Ir3
Source: the Alexandria database
Functional: PBE
Structure: relaxed

Unit cell a=7.923 b=6.829 c=5.650 alpha=78.21 beta=57.53 gamma=44.27
Sites, in units of the cell vectors:
Sm  0.131  0.131  0.869
Sm  0.869  0.869  0.131
Ge  0.174  0.510  0.490
Ge  0.490  0.826  0.174
Ge  0.510  0.174  0.826
Ge  0.826  0.490  0.510
Ir  0.000  0.000  0.500
Ir  0.500  0.500  0.000
Ir  0.500  0.500  0.500

Calculated values
* crystal system: orthorhombic
* theoretical density: 11.3 g cm⁻³
* N(E_F): 3.5 states/eV/f.u.

*x*
Compound: Sm2Ge4Ir3
Source: the Alexandria database
Functional: PBE
Structure: relaxed

Unit cell a=8.086 b=8.086 c=7.505 alpha=90.00 beta=90.00 gamma=138.25
Sites, in units of the cell vectors:
Sm  0.110  0.890  0.910
Sm  0.390  0.610  0.410
Sm  0.610  0.390  0.590
Sm  0.890  0.110  0.090
Ge  0.183  0.817  0.528
Ge  0.191  0.309  0.750
Ge  0.309  0.191  0.250
Ge  0.317  0.683  0.028
Ge  0.683  0.317  0.972
Ge  0.691  0.809  0.750
Ge  0.809  0.691  0.250
Ge  0.817  0.183  0.472
Ir  0.000  0.000  0.500
Ir  0.025  0.475  0.750
Ir  0.475  0.025  0.250
Ir  0.500  0.500  0.000
Ir  0.525  0.975  0.750
Ir  0.975  0.525  0.250

Calculated values
* crystal system: orthorhombic
* theoretical density: 11.9 g cm⁻³
* N(E_F): 4.2 states/eV/f.u.

Of them, *w* has the lowest stability.

*w*
Compound: Sm3Ge4Ir2
Source: the Alexandria database
Functional: PBE
Structure: relaxed

Unit cell a=5.940 b=5.940 c=8.328 alpha=107.69 beta=107.69 gamma=42.73
Sites, in units of the cell vectors:
Sm  0.000  0.000  0.000
Sm  0.378  0.378  0.302
Sm  0.622  0.622  0.698
Ge  0.092  0.092  0.397
Ge  0.290  0.290  0.924
Ge  0.710  0.710  0.076
Ge  0.908  0.908  0.603
Ir  0.309  0.309  0.632
Ir  0.691  0.691  0.368

Calculated values
* crystal system: monoclinic
* theoretical density: 9.9 g cm⁻³
* N(E_F): 4.4 states/eV/f.u.

*x*
Compound: Sm3Ge4Ir2
Source: the Alexandria database
Functional: PBE
Structure: relaxed

Unit cell a=5.950 b=5.950 c=8.442 alpha=102.77 beta=102.77 gamma=42.15
Sites, in units of the cell vectors:
Sm  0.000  0.000  0.000
Sm  0.331  0.331  0.348
Sm  0.669  0.669  0.652
Ge  0.049  0.049  0.378
Ge  0.267  0.267  0.922
Ge  0.733  0.733  0.078
Ge  0.951  0.951  0.622
Ir  0.396  0.396  0.725
Ir  0.604  0.604  0.275

Calculated values
* crystal system: monoclinic
* theoretical density: 9.6 g cm⁻³
* N(E_F): 6.7 states/eV/f.u.

Of them, *x* has the lowest stability.

*w*
Compound: TbSmGeIr
Source: the Alexandria database
Functional: PBE
Structure: relaxed

Unit cell a=7.107 b=7.107 c=7.107 alpha=90.00 beta=90.00 gamma=90.00
Sites, in units of the cell vectors:
Tb  0.000  0.000  0.000
Tb  0.000  0.500  0.500
Tb  0.500  0.000  0.500
Tb  0.500  0.500  0.000
Sm  0.000  0.000  0.500
Sm  0.000  0.500  0.000
Sm  0.500  0.000  0.000
Sm  0.500  0.500  0.500
Ge  0.250  0.250  0.750
Ge  0.250  0.750  0.250
Ge  0.750  0.250  0.250
Ge  0.750  0.750  0.750
Ir  0.250  0.250  0.250
Ir  0.250  0.750  0.750
Ir  0.750  0.250  0.750
Ir  0.750  0.750  0.250

Calculated values
* crystal system: cubic
* theoretical density: 10.6 g cm⁻³
* N(E_F): 2.8 states/eV/f.u.

*x*
Compound: TbSmGeIr
Source: the Alexandria database
Functional: PBE
Structure: relaxed

Unit cell a=4.129 b=4.169 c=10.772 alpha=90.00 beta=90.00 gamma=90.00
Sites, in units of the cell vectors:
Tb  0.000  0.000  0.000
Tb  0.000  0.500  0.500
Sm  0.500  0.000  0.719
Sm  0.500  0.500  0.219
Ge  0.000  0.000  0.292
Ge  0.000  0.500  0.792
Ir  0.500  0.000  0.443
Ir  0.500  0.500  0.943

Calculated values
* crystal system: orthorhombic
* theoretical density: 10.3 g cm⁻³
* N(E_F): 2.4 states/eV/f.u.

Of them, *w* has the lowest stability.

*w*
Compound: SmYGeIr
Source: the Alexandria database
Functional: PBE
Structure: relaxed

Unit cell a=4.140 b=4.170 c=10.728 alpha=90.00 beta=90.00 gamma=90.00
Sites, in units of the cell vectors:
Sm  0.000  0.000  0.000
Sm  0.000  0.500  0.500
Y  0.500  0.000  0.281
Y  0.500  0.500  0.781
Ge  0.500  0.000  0.573
Ge  0.500  0.500  0.073
Ir  0.000  0.000  0.723
Ir  0.000  0.500  0.223

Calculated values
* crystal system: orthorhombic
* theoretical density: 9.0 g cm⁻³
* N(E_F): 2.5 states/eV/f.u.

*x*
Compound: SmYGeIr
Source: the Alexandria database
Functional: PBE
Structure: relaxed

Unit cell a=7.100 b=7.100 c=7.100 alpha=90.00 beta=90.00 gamma=90.00
Sites, in units of the cell vectors:
Sm  0.000  0.000  0.000
Sm  0.000  0.500  0.500
Sm  0.500  0.000  0.500
Sm  0.500  0.500  0.000
Y  0.000  0.000  0.500
Y  0.000  0.500  0.000
Y  0.500  0.000  0.000
Y  0.500  0.500  0.500
Ge  0.250  0.250  0.750
Ge  0.250  0.750  0.250
Ge  0.750  0.250  0.250
Ge  0.750  0.750  0.750
Ir  0.250  0.250  0.250
Ir  0.250  0.750  0.750
Ir  0.750  0.250  0.750
Ir  0.750  0.750  0.250

Calculated values
* crystal system: cubic
* theoretical density: 9.4 g cm⁻³
* N(E_F): 2.8 states/eV/f.u.

Of them, *x* has the lowest stability.

*w*
Compound: Sn5GeIr3
Source: the Alexandria database
Functional: PBE
Structure: relaxed

Unit cell a=6.236 b=3.803 c=18.634 alpha=90.00 beta=91.59 gamma=90.00
Sites, in units of the cell vectors:
Sn  0.193  0.000  0.401
Sn  0.218  0.000  0.068
Sn  0.279  0.500  0.897
Sn  0.297  0.500  0.236
Sn  0.304  0.500  0.572
Sn  0.696  0.500  0.428
Sn  0.703  0.500  0.764
Sn  0.721  0.500  0.103
Sn  0.782  0.000  0.932
Sn  0.807  0.000  0.599
Ge  0.201  0.000  0.734
Ge  0.799  0.000  0.266
Ir  0.000  0.500  0.000
Ir  0.020  0.500  0.674
Ir  0.484  0.000  0.828
Ir  0.500  0.000  0.500
Ir  0.516  0.000  0.172
Ir  0.980  0.500  0.326

Calculated values
* crystal system: monoclinic
* theoretical density: 9.3 g cm⁻³
* N(E_F): 2.6 states/eV/f.u.

*x*
Compound: Sn5GeIr3
Source: the Alexandria database
Functional: PBE
Structure: relaxed

Unit cell a=7.320 b=7.320 c=9.480 alpha=110.69 beta=110.69 gamma=75.77
Sites, in units of the cell vectors:
Sn  0.055  0.055  0.364
Sn  0.119  0.534  0.340
Sn  0.209  0.791  0.000
Sn  0.266  0.266  0.980
Sn  0.466  0.881  0.660
Sn  0.534  0.119  0.340
Sn  0.734  0.734  0.020
Sn  0.791  0.209  0.000
Sn  0.881  0.466  0.660
Sn  0.945  0.945  0.636
Ge  0.413  0.413  0.698
Ge  0.587  0.587  0.302
Ir  0.161  0.161  0.170
Ir  0.191  0.191  0.675
Ir  0.500  0.500  0.000
Ir  0.500  0.500  0.500
Ir  0.809  0.809  0.325
Ir  0.839  0.839  0.830

Calculated values
* crystal system: monoclinic
* theoretical density: 9.4 g cm⁻³
* N(E_F): 2.9 states/eV/f.u.

Of them, *x* has the lowest stability.

*w*
Compound: SnGe2Ir2
Source: the Alexandria database
Functional: PBE
Structure: relaxed

Unit cell a=7.647 b=7.647 c=2.911 alpha=90.00 beta=90.00 gamma=90.00
Sites, in units of the cell vectors:
Sn  0.000  0.000  0.000
Sn  0.500  0.500  0.000
Ge  0.147  0.353  0.500
Ge  0.353  0.853  0.500
Ge  0.647  0.147  0.500
Ge  0.853  0.647  0.500
Ir  0.143  0.643  0.000
Ir  0.357  0.143  0.000
Ir  0.643  0.857  0.000
Ir  0.857  0.357  0.000

Calculated values
* crystal system: tetragonal
* theoretical density: 12.6 g cm⁻³
* N(E_F): 3.1 states/eV/f.u.

*x*
Compound: SnGe2Ir2
Source: the Alexandria database
Functional: PBE
Structure: relaxed

Unit cell a=3.879 b=3.879 c=12.010 alpha=90.00 beta=90.00 gamma=90.00
Sites, in units of the cell vectors:
Sn  0.000  0.000  0.000
Sn  0.500  0.500  0.500
Ge  0.000  0.500  0.250
Ge  0.000  0.500  0.750
Ge  0.500  0.000  0.250
Ge  0.500  0.000  0.750
Ir  0.000  0.000  0.381
Ir  0.000  0.000  0.619
Ir  0.500  0.500  0.119
Ir  0.500  0.500  0.881

Calculated values
* crystal system: tetragonal
* theoretical density: 11.9 g cm⁻³
* N(E_F): 2.4 states/eV/f.u.

*y*
Compound: SnGe2Ir2
Source: the Alexandria database
Functional: PBE
Structure: relaxed

Unit cell a=13.729 b=13.729 c=3.927 alpha=90.00 beta=90.00 gamma=165.66
Sites, in units of the cell vectors:
Sn  0.135  0.865  0.750
Sn  0.865  0.135  0.250
Ge  0.255  0.745  0.250
Ge  0.457  0.543  0.750
Ge  0.543  0.457  0.250
Ge  0.745  0.255  0.750
Ir  0.037  0.963  0.750
Ir  0.311  0.689  0.750
Ir  0.689  0.311  0.250
Ir  0.963  0.037  0.250

Calculated values
* crystal system: orthorhombic
* theoretical density: 11.7 g cm⁻³
* N(E_F): 0.8 states/eV/f.u.

Of them, *w* has the lowest stability.

*w*
Compound: Sn3GeIr
Source: the Alexandria database
Functional: PBE
Structure: relaxed

Unit cell a=5.145 b=5.145 c=5.145 alpha=90.00 beta=90.00 gamma=90.00
Sites, in units of the cell vectors:
Sn  0.000  0.000  0.500
Sn  0.000  0.500  0.000
Sn  0.500  0.000  0.000
Ge  0.000  0.000  0.000
Ir  0.500  0.500  0.500

Calculated values
* crystal system: cubic
* theoretical density: 7.6 g cm⁻³
* N(E_F): 4.4 states/eV/f.u.

*x*
Compound: Sn3GeIr
Source: the Alexandria database
Functional: PBE
Structure: relaxed

Unit cell a=5.158 b=5.158 c=5.158 alpha=90.00 beta=90.00 gamma=90.00
Sites, in units of the cell vectors:
Sn  0.000  0.000  0.500
Sn  0.000  0.500  0.000
Sn  0.500  0.000  0.000
Ge  0.500  0.500  0.500
Ir  0.000  0.000  0.000

Calculated values
* crystal system: cubic
* theoretical density: 7.5 g cm⁻³
* N(E_F): 5.3 states/eV/f.u.

*y*
Compound: Sn3GeIr
Source: the Alexandria database
Functional: PBE
Structure: relaxed

Unit cell a=6.791 b=6.791 c=6.436 alpha=118.09 beta=118.09 gamma=78.63
Sites, in units of the cell vectors:
Sn  0.054  0.054  0.319
Sn  0.086  0.473  0.258
Sn  0.473  0.086  0.258
Sn  0.527  0.914  0.742
Sn  0.914  0.527  0.742
Sn  0.946  0.946  0.681
Ge  0.443  0.443  0.740
Ge  0.557  0.557  0.260
Ir  0.264  0.264  0.887
Ir  0.736  0.736  0.113

Calculated values
* crystal system: monoclinic
* theoretical density: 8.9 g cm⁻³
* N(E_F): 1.8 states/eV/f.u.

Of them, *w* has the lowest stability.